DFT (PBE) results for an optimized crystal structure of Nd3CuGe6Pd2.

Structure (POSCAR):
```
Nd3CuGe6Pd2
1.0
5.956 0.000 0.000
-2.978 5.158 0.000
0.000 0.000 8.300
Nd Cu Ge Pd
3 1 6 2
Cartesian
0.000 0.000 0.000
0.000 3.439 5.172
2.978 1.719 3.129
0.000 0.000 4.150
0.000 1.908 2.370
-1.325 4.204 2.370
1.653 0.954 5.930
1.325 4.204 2.370
4.303 0.954 5.930
2.978 3.250 5.930
0.000 3.439 0.236
2.978 1.719 8.065
```

Values from the calculation:
Final energy ... -61.452 eV for the cell shown



DFT (PBE) results for an optimized crystal structure of Zr2BeSi.

Structure (POSCAR):
```
Zr2BeSi
1.0
3.648 0.000 0.000
0.000 1.897 4.955
0.000 -1.897 4.955
Zr Be Si
2 1 1
Cartesian
0.000 0.000 0.000
1.824 0.000 2.895
0.000 0.000 7.102
1.824 0.000 5.747
```

Values from the calculation:
E_form (uncorrected) ... -247 kJ/mol of formula units
Offset from the most stable computed form ... 8 meV/atom



DFT (PBE) results for an optimized crystal structure of Sr2PmPbO4.

Structure (POSCAR):
```
Sr2PmPbO4
1.0
6.602 0.000 0.000
0.000 3.524 0.000
-2.887 0.000 6.380
Sr Pm Pb O
2 1 1 4
Cartesian
0.000 0.000 0.000
1.857 1.762 3.190
-1.444 0.000 3.190
3.301 1.762 0.000
-0.407 1.762 1.859
0.556 0.000 4.447
3.159 0.000 1.934
4.122 1.762 4.522
```

Values from the calculation:
E_form (uncorrected) ... -1799 kJ/mol of formula units



DFT (PBE) results for an optimized crystal structure of Zn2BrCl.

Structure (POSCAR):
```
Zn2BrCl
1.0
2.028 1.171 6.641
-2.028 1.171 6.641
0.000 -2.341 6.641
Zn Br Cl
2 1 1
Cartesian
0.000 0.000 4.944
0.000 0.000 14.981
0.000 0.000 0.000
0.000 0.000 9.962
```

Values from the calculation:
E_form (uncorrected) ... -69 kJ/mol of formula units
Offset from the most stable computed form ... 437 meV/atom



DFT (PBE) results for an optimized crystal structure of BaBeBr2.

Structure (POSCAR):
```
BaBeBr2
1.0
0.000 3.967 3.967
3.967 0.000 3.967
3.967 3.967 0.000
Ba Be Br
1 1 2
Cartesian
0.000 0.000 0.000
3.967 3.967 3.967
1.983 1.983 1.983
5.950 5.950 5.950
```

Values from the calculation:
E_form (uncorrected) ... -289 kJ/mol of formula units
Offset from the most stable computed form ... 125 meV/atom



DFT (PBE) results for an optimized crystal structure of TmZrTeP.

Structure (POSCAR):
```
TmZrTeP
1.0
1.953 1.128 6.989
-1.953 1.128 6.989
0.000 -2.255 6.989
Tm Zr Te P
1 1 1 1
Cartesian
0.000 0.000 0.000
0.000 0.000 4.162
0.000 0.000 16.142
0.000 0.000 12.473
```

Values from the calculation:
E_form (uncorrected) ... -506 kJ/mol of formula units



DFT (PBE) results for an optimized crystal structure of KLa4Os.

Structure (POSCAR):
```
KLa4Os
1.0
0.000 4.541 4.541
4.541 0.000 4.541
4.541 4.541 0.000
K La Os
1 4 1
Cartesian
0.000 0.000 0.000
5.642 3.439 3.439
3.439 5.642 3.439
3.439 3.439 5.642
5.642 5.642 5.642
2.270 2.270 2.270
```

Values from the calculation:
Final energy ... -26.071 eV for the cell shown



DFT (PBE) results for an optimized crystal structure of K2ZrSi2O7.

Structure (POSCAR):
```
K2ZrSi2O7
1.0
9.761 -5.626 0.000
9.761 5.626 0.000
-6.414 0.000 12.820
K Zr Si O
16 8 16 56
Cartesian
3.344 2.852 7.393
1.642 0.000 0.984
6.552 2.774 0.968
-1.583 0.000 7.802
1.722 0.000 11.422
9.765 2.852 5.427
4.911 0.000 5.429
6.556 2.774 11.852
6.552 -2.774 0.968
8.197 0.000 7.392
3.344 -2.852 7.393
11.387 0.000 1.398
14.691 0.000 5.018
6.556 -2.774 11.852
11.466 0.000 11.836
9.765 -2.852 5.427
3.278 2.773 3.205
-4.770 0.000 10.011
4.911 0.000 9.220
3.278 -2.773 3.205
9.830 2.773 9.615
8.197 0.000 3.600
17.878 0.000 2.809
9.830 -2.773 9.615
6.530 2.933 4.862
1.524 0.000 4.711
-1.488 0.000 11.398
3.322 2.693 11.272
6.578 2.933 7.958
1.627 0.000 7.832
5.031 0.000 1.698
9.786 2.693 1.548
3.322 -2.693 11.272
8.078 0.000 11.123
11.481 0.000 4.989
6.530 -2.933 4.862
9.786 -2.693 1.548
14.596 0.000 1.422
11.584 0.000 8.109
6.578 -2.933 7.958
0.137 0.000 3.859
7.217 4.103 3.940
-0.887 1.353 10.725
1.741 2.900 10.916
2.407 1.347 4.491
4.949 2.726 4.505
-3.119 0.000 11.430
8.950 4.097 1.539
4.159 4.097 11.281
4.148 1.347 1.917
1.026 1.352 8.506
5.892 4.103 8.880
6.554 3.584 6.410
0.982 0.000 6.289
5.573 0.000 0.120
9.761 2.041 0.000
4.008 1.523 10.350
-0.887 -1.353 10.725
2.407 -1.347 4.491
5.742 1.528 7.949
7.366 1.528 4.871
3.258 0.000 7.802
11.367 2.900 1.905
4.148 -1.347 1.917
8.159 2.726 8.315
1.026 -1.352 8.506
6.418 0.000 2.550
9.100 1.523 2.470
4.008 -1.523 10.350
6.691 0.000 10.270
12.082 1.352 4.314
4.949 -2.726 4.505
8.961 1.347 10.903
1.741 -2.900 10.916
9.850 0.000 5.018
5.742 -1.528 7.949
7.366 -1.528 4.871
10.701 1.347 8.329
13.995 1.353 2.095
9.100 -1.523 2.470
9.761 -2.041 0.000
7.536 0.000 12.700
12.126 0.000 6.531
6.554 -3.584 6.410
7.217 -4.103 3.940
12.082 -1.352 4.314
8.961 -1.347 10.903
8.950 -4.097 1.539
4.159 -4.097 11.281
16.227 0.000 1.390
8.159 -2.726 8.315
10.701 -1.347 8.329
11.367 -2.900 1.905
13.995 -1.353 2.095
5.892 -4.103 8.880
12.971 0.000 8.961
```

Values from the calculation:
E_form (uncorrected) ... -3222 kJ/mol of formula units
Offset from the most stable computed form ... 3 meV/atom



no.,size of the total moment (μB per formula unit),density of states at the Fermi level (states/eV/f.u.)
1,0.00,4.16
2,0.00,2.82
3,0.55,2.22
4,0.00,3.95
5,0.00,0.00
6,0.00,0.91
7,0.00,12.26
8,0.00,0.00